La2CoF: relaxed, GGA+U.

Structure (extended XYZ):
```
8
Lattice="-2.8353 2.8353 6.3432 2.8353 -2.8353 6.3432 2.8353 2.8353 -6.3432" Properties=species:S:1:pos:R:3 pbc="T T T"
La 4.2530 1.3895 -1.5858
La 1.3895 1.4177 1.5858
La -1.4177 1.4459 4.7574
La 1.4459 1.4177 7.9290
Co 2.8353 0.0000 3.1716
Co 0.0000 0.0000 6.3432
F 0.0000 0.0000 0.0000
F 0.0000 2.8353 3.1716
```

Its space group is No. 122. Its volume is 25.5 A^3/atom. As for the energy above the most stable polymorph in this dataset: 0.156 eV per atom. As for the magnetization: 0.0 Bohr magnetons per cell. Its crystal system is tetragonal. The value obtained for the final energy is -5.154 eV per atom.